# ReBOs2

Crystalline ReBOs2 at its relaxed geometry (PBE-GGA, the Alexandria database).

The space group is P4/mmm (No. 123) and the conventional cell measures 2.7435, 2.7435 and 6.5881 Å, with angles of 90.00, 90.00 and 90.00 degrees. The distinct sites, in fractional coordinates, are Re at (0.0000, 0.0000, 0.0000), B at (0.0000, 0.0000, 0.5000) and Os at (0.5000, 0.5000, 0.2990).

As for the total moment: 0.000 μB/cell. The formation energy from the elements comes out at 0.062 eV/atom. As for the calculated volume: 12.397 Å³/atom. As for the crystal system: tetragonal. The calculation puts the total energy at -41.34 eV for the cell shown.

=====

# Ta2FeHg

Crystalline Ta2FeHg at its relaxed geometry (PBE-GGA, the Alexandria database).

The space group is I-42d (No. 122) and the conventional cell measures 3.8928, 3.8928 and 19.2583 Å, with angles of 90.00, 90.00 and 90.00 degrees. The distinct sites, in fractional coordinates, are Ta at (0.2400, 0.2500, 0.1250), Fe at (0.0000, 0.0000, 0.0000) and Hg at (0.0000, 0.0000, 0.5000).

As for the total moment: 0.000 μB/cell. The formation energy from the elements comes out at 0.929 eV/atom. As for the calculated volume: 18.240 Å³/atom. As for the crystal system: tetragonal. The calculation puts the total energy at -115.01 eV for the cell shown.

=====

# TbNdCdHg

Crystalline TbNdCdHg at its relaxed geometry (PBE-GGA, the Alexandria database).

The space group is P4mm (No. 99) and the conventional cell measures 3.7740, 3.7740 and 7.6859 Å, with angles of 90.00, 90.00 and 90.00 degrees. The distinct sites, in fractional coordinates, are Tb at (0.0000, 0.0000, 0.0000), Nd at (0.0000, 0.0000, 0.5048), Cd at (0.5000, 0.5000, 0.2399) and Hg at (0.5000, 0.5000, 0.7713).

As for the total moment: 0.699 μB/cell. The energy above the lowest structure with this stoichiometry is 0.000 eV/atom. The formation energy from the elements comes out at -0.396 eV/atom. As for the calculated volume: 27.367 Å³/atom. As for the crystal system: tetragonal. The calculation puts the total energy at -12.20 eV for the cell shown.

=====

# SiTeWI2

Crystalline SiTeWI2 at its relaxed geometry (PBE-GGA, the Alexandria database).

The space group is P4/mmm (No. 123) and the conventional cell measures 5.3530, 5.3530 and 5.5463 Å, with angles of 90.00, 90.00 and 90.00 degrees. The distinct sites, in fractional coordinates, are Si at (0.0000, 0.0000, 0.0000), Te at (0.0000, 0.0000, 0.5000), W at (0.5000, 0.5000, 0.5000) and I at (0.0000, 0.5000, 0.0000).

As for the total moment: 4.346 μB/cell. The energy above the lowest structure with this stoichiometry is 0.366 eV/atom. Its raw formation energy is 1410 meV per atom. As for the calculated volume: 31.785 Å³/atom. As for the crystal system: tetragonal. The calculation puts the total energy at -17.57 eV for the cell shown.

=====

# CaRh2Pb

Crystalline CaRh2Pb at its relaxed geometry (PBE-GGA, the Alexandria database).

The space group is P4/mmm (No. 123) and the conventional cell measures 4.5524, 4.5524 and 3.6188 Å, with angles of 90.00, 90.00 and 90.00 degrees. The distinct sites, in fractional coordinates, are Ca at (0.0000, 0.0000, 0.0000), Rh at (0.0000, 0.5000, 0.5000) and Pb at (0.5000, 0.5000, 0.0000).

As for the total moment: 0.000 μB/cell. The formation energy from the elements comes out at -0.316 eV/atom. As for the calculated volume: 18.749 Å³/atom. As for the crystal system: tetragonal. The calculation puts the total energy at -21.68 eV for the cell shown.

=====

# CaHoSiPd

Crystalline CaHoSiPd at its relaxed geometry (PBE-GGA, the Alexandria database).

The space group is F-43m (No. 216) and the conventional cell measures 7.0278, 7.0278 and 7.0278 Å, with angles of 90.00, 90.00 and 90.00 degrees. The distinct sites, in fractional coordinates, are Ca at (0.0000, 0.0000, 0.0000), Ho at (0.0000, 0.0000, 0.5000), Si at (0.2500, 0.2500, 0.7500) and Pd at (0.2500, 0.2500, 0.2500).

As for the total moment: 0.000 μB/cell. Its raw formation energy is -628 meV per atom. As for the calculated volume: 21.694 Å³/atom. As for the crystal system: cubic. The calculation puts the total energy at -78.82 eV for the cell shown.